a:
MoOs2Pt, single point on PBEsol structure, DFT SCAN; magnetic moment = 0.0 μB per formula unit; D(E_F) = 2.5 states/eV/f.u.
1.0
-1.927 1.927 3.877
1.927 -1.927 3.877
1.927 1.927 -3.877
Mo Os Pt
1 2 1
direct
0.000 0.000 0.000 Mo
0.500 0.500 0.000 Os
0.750 0.250 0.500 Os
0.250 0.750 0.500 Pt

***

b:
MoOs2Pt, single point on PBEsol structure, DFT SCAN; magnetic moment = 0.0 μB per formula unit; D(E_F) = 3.0 states/eV/f.u.
1.0
0.000 3.089 3.089
3.089 0.000 3.089
3.089 3.089 0.000
Mo Os Pt
1 2 1
direct
0.000 0.000 0.000 Mo
0.250 0.250 0.250 Os
0.750 0.750 0.750 Os
0.500 0.500 0.500 Pt

***

a takes first place; second place is 457 meV/atom up.

***

a:
Re2MoOs, single point on PBEsol structure, DFT SCAN; magnetic moment = 0.0 μB per formula unit; D(E_F) = 3.1 states/eV/f.u.
1.0
2.747 0.000 0.000
0.000 3.875 0.000
0.000 0.000 5.517
Re Mo Os
2 1 1
direct
0.000 0.000 0.243 Re
0.000 0.000 0.757 Re
0.500 0.500 0.500 Mo
0.500 0.500 0.000 Os

***

b:
Re2MoOs, single point on PBEsol structure, DFT SCAN; magnetic moment = 0.0 μB per formula unit; D(E_F) = 3.2 states/eV/f.u.
1.0
2.743 0.000 0.000
0.000 3.875 0.000
0.000 0.000 5.506
Re Mo Os
2 1 1
direct
0.000 0.000 0.000 Re
0.500 0.500 0.245 Re
0.000 0.000 0.503 Mo
0.500 0.500 0.752 Os

***

c:
Re2MoOs, single point on PBEsol structure, DFT SCAN; magnetic moment = 0.0 μB per formula unit; D(E_F) = 3.4 states/eV/f.u.
1.0
-1.939 1.939 3.887
1.939 -1.939 3.887
1.939 1.939 -3.887
Re Mo Os
2 1 1
direct
0.000 0.000 0.000 Re
0.750 0.250 0.500 Re
0.250 0.750 0.500 Mo
0.500 0.500 0.000 Os

***

c takes first place; second place is 9 meV/atom up.

***

a:
Re2MoOs, single point on PBEsol structure, DFT SCAN; magnetic moment = 0.0 μB per formula unit; D(E_F) = 3.6 states/eV/f.u.
1.0
2.726 0.000 0.000
0.000 2.726 0.000
0.000 0.000 7.902
Re Mo Os
2 1 1
direct
0.000 0.000 0.240 Re
0.000 0.000 0.760 Re
0.500 0.500 0.500 Mo
0.500 0.500 0.000 Os

***

b:
Re2MoOs, single point on PBEsol structure, DFT SCAN; magnetic moment = 0.0 μB per formula unit; D(E_F) = 4.3 states/eV/f.u.
1.0
0.000 3.088 3.088
3.088 0.000 3.088
3.088 3.088 0.000
Re Mo Os
2 1 1
direct
0.000 0.000 0.000 Re
0.250 0.250 0.250 Re
0.500 0.500 0.500 Mo
0.750 0.750 0.750 Os

***

a takes first place; second place is 184 meV/atom up.

***

a:
MoOs2Ru, single point on PBEsol structure, DFT SCAN; magnetic moment = 0.0 μB per formula unit; D(E_F) = 3.0 states/eV/f.u.
1.0
3.834 0.000 0.000
0.000 3.834 0.000
0.000 0.000 3.838
Mo Os Ru
1 2 1
direct
0.000 0.000 0.000 Mo
0.000 0.500 0.500 Os
0.500 0.000 0.500 Os
0.500 0.500 0.000 Ru

***

b:
MoOs2Ru, single point on PBEsol structure, DFT SCAN; magnetic moment = 0.0 μB per formula unit; D(E_F) = 4.1 states/eV/f.u.
1.0
1.354 0.782 8.917
-1.354 0.782 8.917
0.000 -1.563 8.917
Mo Os Ru
1 2 1
direct
0.000 0.000 0.000 Mo
0.248 0.248 0.248 Os
0.752 0.752 0.752 Os
0.500 0.500 0.500 Ru

***

a takes first place; second place is 161 meV/atom up.

***

a:
MoOsRu2, single point on PBEsol structure, DFT SCAN; magnetic moment = 0.0 μB per formula unit; D(E_F) = 3.3 states/eV/f.u.
1.0
-1.906 1.906 3.843
1.906 -1.906 3.843
1.906 1.906 -3.843
Mo Os Ru
1 1 2
direct
0.000 0.000 0.000 Mo
0.500 0.500 0.000 Os
0.250 0.750 0.500 Ru
0.750 0.250 0.500 Ru

***

b:
MoOsRu2, single point on PBEsol structure, DFT SCAN; magnetic moment = 0.0 μB per formula unit; D(E_F) = 3.3 states/eV/f.u.
1.0
2.703 0.000 0.000
0.000 2.703 0.000
0.000 0.000 7.669
Mo Os Ru
1 1 2
direct
0.000 0.000 0.000 Mo
0.500 0.500 0.266 Os
0.000 0.000 0.504 Ru
0.500 0.500 0.752 Ru

***

c:
MoOsRu2, single point on PBEsol structure, DFT SCAN; magnetic moment = 0.0 μB per formula unit; D(E_F) = 3.7 states/eV/f.u.
1.0
2.706 0.000 0.000
-1.345 4.479 0.000
-0.003 -0.823 4.617
Mo Os Ru
1 1 2
direct
0.000 0.000 0.000 Mo
0.247 0.494 0.731 Os
0.501 0.002 0.501 Ru
0.751 0.503 0.248 Ru

***

d:
MoOsRu2, single point on PBEsol structure, DFT SCAN; magnetic moment = 0.0 μB per formula unit; D(E_F) = 3.3 states/eV/f.u.
1.0
3.823 0.000 0.000
0.000 3.823 0.000
0.000 0.000 3.817
Mo Os Ru
1 1 2
direct
0.000 0.000 0.000 Mo
0.500 0.500 0.000 Os
0.000 0.500 0.500 Ru
0.500 0.000 0.500 Ru

***

d takes first place; second place is 38 meV/atom up.

***

a:
ScMoOs, single point on PBEsol structure, DFT SCAN; magnetic moment = 0.0 μB per formula unit; D(E_F) = 2.3 states/eV/f.u.
1.0
4.379 0.000 0.000
-2.190 3.792 0.000
0.000 0.000 2.837
Sc Mo Os
1 1 1
direct
0.000 0.000 0.000 Sc
0.333 0.667 0.659 Mo
0.667 0.333 0.361 Os

***

b:
ScMoOs, single point on PBEsol structure, DFT SCAN; magnetic moment = 0.0 μB per formula unit; D(E_F) = 1.2 states/eV/f.u.
1.0
-1.548 1.548 5.018
1.548 -1.548 5.018
1.548 1.548 -5.018
Sc Mo Os
1 1 1
direct
0.000 0.000 0.000 Sc
0.681 0.681 0.000 Mo
0.327 0.327 0.000 Os

***

c:
ScMoOs, single point on PBEsol structure, DFT SCAN; magnetic moment = 0.0 μB per formula unit; D(E_F) = 2.3 states/eV/f.u.
1.0
0.000 3.014 3.014
3.014 0.000 3.014
3.014 3.014 0.000
Sc Mo Os
1 1 1
direct
0.000 0.000 0.000 Sc
0.750 0.750 0.750 Mo
0.500 0.500 0.500 Os

***

b takes first place; second place is 101 meV/atom up.

***

a:
MoOsSe2, single point on PBEsol structure, DFT SCAN; magnetic moment = 0.0 μB per formula unit; D(E_F) = 3.2 states/eV/f.u.
1.0
-1.983 1.983 3.969
1.983 -1.983 3.969
1.983 1.983 -3.969
Mo Os Se
1 1 2
direct
0.000 0.000 0.000 Mo
0.750 0.250 0.500 Os
0.250 0.750 0.500 Se
0.500 0.500 0.000 Se

***

b:
MoOsSe2, single point on PBEsol structure, DFT SCAN; magnetic moment = 0.0 μB per formula unit; D(E_F) = 4.2 states/eV/f.u.
1.0
1.505 -2.623 0.000
1.505 2.623 0.000
0.000 0.000 8.193
Mo Os Se
1 1 2
direct
0.000 0.000 0.000 Mo
0.000 0.000 0.500 Os
0.500 0.500 0.251 Se
0.500 0.500 0.749 Se

***

c:
MoOsSe2, single point on PBEsol structure, DFT SCAN; magnetic moment = 0.0 μB per formula unit; D(E_F) = 1.9 states/eV/f.u.
1.0
2.948 0.000 0.000
0.000 2.948 0.000
0.000 0.000 7.877
Mo Os Se
1 1 2
direct
0.000 0.000 0.000 Mo
0.500 0.500 0.246 Os
0.000 0.000 0.435 Se
0.500 0.500 0.811 Se

***

d:
MoOsSe2, single point on PBEsol structure, DFT SCAN; magnetic moment = 0.0 μB per formula unit; D(E_F) = 3.9 states/eV/f.u.
1.0
-1.514 2.168 4.739
1.514 -2.168 4.739
1.514 2.168 -4.739
Mo Os Se
1 1 2
direct
0.000 0.000 0.000 Mo
0.269 0.769 0.500 Os
0.489 0.489 0.000 Se
0.766 0.266 0.500 Se

***

c takes first place; second place is 531 meV/atom up.

***

a:
Sr2MoOs, single point on PBEsol structure, DFT SCAN; magnetic moment = 0.0 μB per formula unit; D(E_F) = 5.3 states/eV/f.u.
1.0
0.000 3.493 3.493
3.493 0.000 3.493
3.493 3.493 0.000
Sr Mo Os
2 1 1
direct
0.000 0.000 0.000 Sr
0.250 0.250 0.250 Sr
0.750 0.750 0.750 Mo
0.500 0.500 0.500 Os

***

b:
Sr2MoOs, single point on PBEsol structure, DFT SCAN; magnetic moment = 0.4 μB per formula unit; D(E_F) = 3.0 states/eV/f.u.
1.0
2.953 0.000 0.000
0.000 5.147 0.000
-0.090 0.000 5.512
Sr Mo Os
2 1 1
direct
0.005 0.000 0.253 Sr
0.995 0.000 0.747 Sr
0.500 0.500 0.000 Mo
0.500 0.500 0.500 Os

***

a takes first place; second place is 73 meV/atom up.

***

a:
Sr2MoOs, single point on PBEsol structure, DFT SCAN; magnetic moment = 4.0 μB per formula unit; D(E_F) = 2.8 states/eV/f.u.
1.0
0.000 3.615 3.615
3.615 0.000 3.615
3.615 3.615 0.000
Sr Mo Os
2 1 1
direct
0.250 0.250 0.250 Sr
0.750 0.750 0.750 Sr
0.000 0.000 0.000 Mo
0.500 0.500 0.500 Os

***

b:
Sr2MoOs, single point on PBEsol structure, DFT SCAN; magnetic moment = 0.0 μB per formula unit; D(E_F) = 3.2 states/eV/f.u.
1.0
-1.685 1.912 8.980
1.685 -1.912 8.980
1.685 1.912 -8.980
Sr Mo Os
2 1 1
direct
0.147 0.147 0.000 Sr
0.853 0.853 0.000 Sr
0.500 0.000 0.500 Mo
0.000 0.500 0.500 Os

***

b takes first place; second place is 836 meV/atom up.

***

a:
Te2MoOs, single point on PBEsol structure, DFT SCAN; magnetic moment = 0.0 μB per formula unit; D(E_F) = 3.9 states/eV/f.u.
1.0
3.196 0.000 0.000
0.000 4.388 0.000
0.000 0.000 5.409
Te Mo Os
2 1 1
direct
0.000 0.000 0.000 Te
0.500 0.000 0.500 Te
0.000 0.500 0.500 Mo
0.500 0.500 0.000 Os

***

b:
Te2MoOs, single point on PBEsol structure, DFT SCAN; magnetic moment = 0.0 μB per formula unit; D(E_F) = 3.1 states/eV/f.u.
1.0
2.977 0.000 0.000
0.000 3.900 0.000
-1.279 0.000 7.473
Te Mo Os
2 1 1
direct
0.000 0.000 0.000 Te
0.294 0.500 0.602 Te
0.601 0.500 0.218 Mo
0.165 0.000 0.357 Os

***

b takes first place; second place is 879 meV/atom up.

***

a:
TlMoOs2, single point on PBEsol structure, DFT SCAN; magnetic moment = 0.0 μB per formula unit; D(E_F) = 2.8 states/eV/f.u.
1.0
4.634 -1.431 0.000
4.634 1.431 0.000
-0.923 0.000 4.872
Tl Mo Os
1 1 2
direct
0.000 0.000 0.000 Tl
0.500 0.500 0.500 Mo
0.236 0.236 0.713 Os
0.764 0.764 0.287 Os

***

b:
TlMoOs2, single point on PBEsol structure, DFT SCAN; magnetic moment = 0.0 μB per formula unit; D(E_F) = 4.9 states/eV/f.u.
1.0
0.000 3.172 3.172
3.172 0.000 3.172
3.172 3.172 0.000
Tl Mo Os
1 1 2
direct
0.000 0.000 0.000 Tl
0.250 0.250 0.250 Mo
0.500 0.500 0.500 Os
0.750 0.750 0.750 Os

***

a takes first place; second place is 337 meV/atom up.

***

a:
TlMoOs2, single point on PBEsol structure, DFT SCAN; magnetic moment = 0.0 μB per formula unit; D(E_F) = 3.5 states/eV/f.u.
1.0
2.845 0.000 0.000
0.000 3.832 0.000
0.000 0.000 5.914
Tl Mo Os
1 1 2
direct
0.000 0.000 0.000 Tl
0.000 0.000 0.500 Mo
0.500 0.500 0.280 Os
0.500 0.500 0.720 Os

***

b:
TlMoOs2, single point on PBEsol structure, DFT SCAN; magnetic moment = 0.0 μB per formula unit; D(E_F) = 3.8 states/eV/f.u.
1.0
-1.931 1.931 4.232
1.931 -1.931 4.232
1.931 1.931 -4.232
Tl Mo Os
1 1 2
direct
0.000 0.000 0.000 Tl
0.750 0.250 0.500 Mo
0.250 0.750 0.500 Os
0.500 0.500 0.000 Os

***

a takes first place; second place is 163 meV/atom up.